RbBa2H6Rh | the Alexandria database | PBE | relaxed; ρ = 3.5 Mg/m³; energy = -3.64 eV per atom; N(E_F) = 3.55 states/eV/f.u.
1.0
5.440 0.000 0.000
2.720 4.712 0.000
2.720 1.571 17.226
Rb Ba H Rh
2 4 12 2
Direct
0.578 0.578 0.265
0.422 0.422 0.735
0.858 0.858 0.425
0.142 0.142 0.575
0.693 0.693 0.922
0.307 0.307 0.078
0.817 0.370 0.443
0.370 0.817 0.443
0.370 0.370 0.443
0.183 0.630 0.557
0.630 0.183 0.557
0.630 0.630 0.557
0.719 0.168 0.944
0.168 0.719 0.944
0.168 0.168 0.944
0.281 0.832 0.056
0.832 0.281 0.056
0.832 0.832 0.056
0.000 0.000 0.000
0.500 0.500 0.500